The following is a PBE-GGA calculation of a relaxed structure of Na3Li3Ac, from the Alexandria database.

Unit cell a=7.7367 b=7.7367 c=7.7367 alpha=90.00 beta=90.00 gamma=90.00
Atoms (fractional coordinates):
Na (0.0000, 0.5000, 0.7500)
Li (0.2500, 0.5000, 0.0000)
Li (0.7500, 0.5000, 0.0000)
Na (0.7500, 0.0000, 0.5000)
Na (0.2500, 0.0000, 0.5000)
Li (0.0000, 0.2500, 0.5000)
Li (0.0000, 0.7500, 0.5000)
Na (0.5000, 0.7500, 0.0000)
Na (0.5000, 0.2500, 0.0000)
Li (0.5000, 0.0000, 0.7500)
Ac (0.5000, 0.5000, 0.5000)
Na (0.0000, 0.5000, 0.2500)
Ac (0.0000, 0.0000, 0.0000)
Li (0.5000, 0.0000, 0.2500)

calculated formation energy: 2.7 eV/f.u.
crystal system: cubic
size of the total moment: 0.00 Bohr magnetons per cell

---

The following is a PBE-GGA calculation of a relaxed structure of PaMn2H7, from the Alexandria database.

Unit cell a=3.6126 b=5.1565 c=4.7513 alpha=122.86 beta=90.00 gamma=90.00
Atoms (fractional coordinates):
H (0.5000, 0.9396, 0.2612)
H (0.0000, 0.2966, 0.5933)
Mn (0.5000, 0.2963, 0.5926)
H (0.5000, 0.0604, 0.7388)
Mn (0.5000, 0.7037, 0.4074)
H (0.5000, 0.6784, 0.7388)
H (0.0000, 0.7034, 0.4067)
H (0.5000, 0.5000, 0.0000)
Pa (0.0000, 0.0000, 0.0000)
H (0.5000, 0.3216, 0.2612)

VASP energy: -5.21 eV per atom
crystal system: orthorhombic
size of the total moment: 1.57 Bohr magnetons per cell

---

The following is a PBE-GGA calculation of a relaxed structure of NbPbO2, from the Alexandria database.

Unit cell a=6.2249 b=6.2249 c=6.2645 alpha=60.21 beta=60.21 gamma=90.00
Atoms (fractional coordinates):
Pb (0.0000, 0.0000, 0.0000)
O (0.8750, 0.6245, 0.7500)
O (0.3745, 0.1250, 0.2500)
Nb (0.2500, 0.7500, 0.5000)
O (0.3755, 0.6250, 0.2500)
Pb (0.7500, 0.2500, 0.5000)
O (0.3750, 0.6255, 0.7500)
Nb (0.5000, 0.5000, 0.0000)

crystal system: tetragonal
relative energy among the computed polymorphs: 0.1506 eV per atom
size of the total moment: 0.00 Bohr magnetons per cell
formation energy from raw total energies: -1364 meV/atom